1.
The following is a DFT calculation (PBE-GGA) of a relaxed Sr2AlSi crystal.

```
Sr2AlSi
1.0
5.071 -0.007 -0.005
3.697 3.470 -0.005
1.265 0.500 7.387
Sr Si Al
2 1 1
Direct
0.991 0.991 0.022
0.509 0.509 0.478
0.250 0.250 0.250
0.750 0.750 0.750
```

Calculated values
E_form (uncorrected)	0.109	eV/atom
calculated total energy	-12.092	eV/f.u.

2.
The following is a DFT calculation (PBE-GGA) of a relaxed SiSbP crystal.

```
SiSbP
1.0
3.659 0.000 0.000
-1.829 3.169 0.000
0.000 0.000 5.128
P Sb Si
1 1 1
Direct
0.000 0.000 0.946
0.667 0.333 0.338
0.333 0.667 0.716
```

Calculated values
E_form (uncorrected)	0.199	eV/atom
calculated total energy	-14.358	eV/f.u.
energy above the lowest structure with this stoichiometry	122	meV per atom

3.
The following is a DFT calculation (PBE-GGA) of a relaxed GaCuGePb2 crystal.

```
GaCuGePb2
1.0
5.216 0.000 0.000
0.000 4.581 0.000
0.000 0.000 5.216
Pb Ge Cu Ga
2 1 1 1
Direct
0.000 0.000 0.500
0.500 0.000 0.000
0.000 0.500 0.000
0.000 0.000 0.000
0.500 0.500 0.500
```

Calculated values
calculated total energy	-17.326	eV/f.u.